MnAuF3 | PBE+U | relaxed

Structure (POSCAR):
```
MnAuF3
1.0
4.170 0.000 0.000
0.000 4.170 0.000
0.000 0.000 4.170
F Au Mn
3 1 1
Direct
0.000 0.500 0.000
0.500 0.000 0.000
0.000 0.000 0.500
0.500 0.500 0.500
0.000 0.000 0.000
```

Summary:
relative energy among the computed polymorphs = 0 meV/atom
calculated volume = 14.51 Å³/atom